(1)
A relaxed Cs2SrN crystal. Source: Alexandria via LeMat-Bulk, functional GGA-PBE.

Cell lengths 13.7240, 13.7240, 9.9873 Å; angles 46.60, 46.60, 90.00 degrees
Fractional coordinates of all 8 atoms:
Cs: 0.3081 0.6250 0.2500
Cs: 0.3750 0.5581 0.7500
Cs: 0.4419 0.1250 0.2500
Cs: 0.8750 0.6919 0.7500
Sr: 0.0000 0.0000 0.0000
Sr: 0.7500 0.2500 0.5000
N: 0.5000 0.5000 0.0000
N: 0.2500 0.7500 0.5000

Values from the calculation:
Relative energy among the computed polymorphs   0.00 eV per formula unit
Electronic total energy   -2.6363 eV per atom
Density   2745 kg/m3
Density of states at the Fermi level   6.64 states/eV/cell


(2)
A relaxed Sr2AuI crystal. Source: Alexandria via LeMat-Bulk, functional GGA-PBE.

Cell lengths 5.7474, 5.7474, 5.7474 Å; angles 60.00, 60.00, 60.00 degrees
Fractional coordinates of all 4 atoms:
Au: 0.5000 0.5000 0.5000
I: 0.0000 0.0000 0.0000
Sr: 0.7500 0.7500 0.7500
Sr: 0.2500 0.2500 0.2500

Values from the calculation:
Relative energy among the computed polymorphs   1.13 eV per formula unit
Electronic total energy   -2.7994 eV per atom
Density   6174 kg/m3
Density of states at the Fermi level   5.18 states/eV/cell


(3)
A relaxed KSc2Se crystal. Source: Alexandria via LeMat-Bulk, functional GGA-PBE.

Cell lengths 4.6419, 3.7864, 6.6675 Å; angles 75.88, 90.00, 90.00 degrees
Fractional coordinates of all 4 atoms:
Sc: 0.0000 0.1057 0.0646
Sc: 0.0000 0.3943 0.4354
K: 0.5000 0.7500 0.7500
Se: 0.5000 0.2500 0.2500

Values from the calculation:
Electronic total energy   -4.4947 eV per atom
Density   3039 kg/m3
Density of states at the Fermi level   4.74 states/eV/cell


(4)
A relaxed Hf2MnIr2 crystal. Source: Alexandria via LeMat-Bulk, functional GGA-PBE.

Cell lengths 6.6005, 6.6005, 4.0852 Å; angles 90.00, 90.00, 90.00 degrees
Fractional coordinates of all 10 atoms:
Ir: 0.1390 0.3610 0.0000
Ir: 0.6390 0.1390 0.0000
Ir: 0.8610 0.6390 0.0000
Ir: 0.3610 0.8610 0.0000
Hf: 0.6754 0.8246 0.5000
Hf: 0.3246 0.1754 0.5000
Hf: 0.8246 0.3246 0.5000
Hf: 0.1754 0.6754 0.5000
Mn: 0.5000 0.5000 0.0000
Mn: 0.0000 0.0000 0.0000

Values from the calculation:
E_form   -52 kJ per mole of atoms
Relative energy among the computed polymorphs   0.00 eV per formula unit
Electronic total energy   -9.8942 eV per atom
Density   14860 kg/m3
Density of states at the Fermi level   10.12 states/eV/cell


(5)
A relaxed Ce2PuInC crystal. Source: Alexandria via LeMat-Bulk, functional GGA-PBE.

Cell lengths 4.7934, 5.0175, 5.0175 Å; angles 90.00, 90.00, 90.00 degrees
Fractional coordinates of all 5 atoms:
Ce: 0.0000 0.5000 0.0000
Ce: 0.0000 0.0000 0.5000
C: 0.0000 0.0000 0.0000
In: 0.5000 0.5000 0.5000
Pu: 0.5000 0.0000 0.0000

Values from the calculation:
E_form   -25 kJ per mole of atoms
Electronic total energy   -7.8933 eV per atom
Density   8959 kg/m3
Density of states at the Fermi level   7.05 states/eV/cell


(6)
A relaxed TbSmLu crystal. Source: Alexandria via LeMat-Bulk, functional GGA-PBE.

Cell lengths 3.5483, 3.5483, 7.9452 Å; angles 102.90, 102.90, 90.00 degrees
Fractional coordinates of all 3 atoms:
Sm: 0.3322 0.3322 0.6643
Tb: 0.0021 0.0021 0.0042
Lu: 0.6658 0.6658 0.3315

Values from the calculation:
E_form   3 kJ per mole of atoms
Relative energy among the computed polymorphs   0.00 eV per formula unit
Electronic total energy   -4.5972 eV per atom
Density   8472 kg/m3
Density of states at the Fermi level   4.42 states/eV/cell